[1]
VASP calculation (SCAN) on BeTlTe2 at its PBEsol-relaxed geometry.

Space group: C2/m (12)

abc: 3.6561 5.8448 5.8566
angles: 65.91 71.81 71.77
Closest atoms and distances in Å follow each position.
Positions (direct):
Te 0.6818 0.3182 0.3182  2 Be 2.47
Be 0.0000 0.5000 0.5000  4 Te 2.47
Tl 0.5000 0.0000 0.0000  8 Te 3.43-3.59, 2 Tl 3.66, 4 Be 3.67
Te 0.3182 0.6818 0.6818  2 Be 2.47


[2]
VASP calculation (SCAN) on Be2TlTe at its PBEsol-relaxed geometry.

Space group: P4/mmm (123)

abc: 3.5899 4.5658 4.5658
angles: 90.00 90.00 90.00
Closest atoms and distances in Å follow each position.
Positions (direct):
Tl 0.5000 0.0000 0.0000  8 Be 2.90, 4 Te 3.23
Be 0.0000 0.5000 0.0000  4 Tl 2.90, 4 Te 2.90, 4 Be 3.23
Te 0.5000 0.5000 0.5000  8 Be 2.90, 4 Tl 3.23
Be 0.0000 0.0000 0.5000  4 Te 2.90, 4 Tl 2.90, 4 Be 3.23


[3]
VASP calculation (SCAN) on BeTlTe at its PBEsol-relaxed geometry.

Space group: F-43m (216)

abc: 4.6932 4.6932 4.6932
angles: 60.00 60.00 60.00
Closest atoms and distances in Å follow each position.
Positions (direct):
Tl 0.5000 0.5000 0.5000  4 Be 2.87
Be 0.2500 0.2500 0.2500  4 Tl 2.87, 4 Te 2.87
Te 0.0000 0.0000 0.0000  4 Be 2.87


[4]
VASP calculation (SCAN) on Be2TlTe at its PBEsol-relaxed geometry.

Space group: I-42d (122)

abc: 6.0465 6.4587 6.0465
angles: 62.09 90.00 117.91
Closest atoms and distances in Å follow each position.
Positions (direct):
Tl 0.0000 0.0000 0.0000  4 Be 2.53
Be 0.3750 0.2500 0.1447  2 Te 2.39, 2 Tl 2.53
Te 0.2500 0.5000 0.2500  4 Be 2.39
Tl 0.7500 0.5000 0.7500  4 Be 2.53
Te 0.5000 0.0000 0.5000  4 Be 2.39
Be 0.8750 0.2500 0.6053  2 Te 2.39, 2 Tl 2.53
Be 0.6053 0.7500 0.3750  2 Te 2.39, 2 Tl 2.53
Be 0.1447 0.7500 0.8750  2 Te 2.39, 2 Tl 2.53


[5]
VASP calculation (SCAN) on Be2TlTe at its PBEsol-relaxed geometry.

Space group: Cm (8)

abc: 3.7362 4.0428 5.8739
angles: 90.13 108.54 90.00
Closest atoms and distances in Å follow each position.
Positions (direct):
Te 0.5320 0.7494 0.0640  3 Be 2.36-2.55
Be 0.9020 0.7508 0.8040  2 Be 2.17, 2 Te 2.36
Be 0.3034 0.7500 0.6069  2 Be 2.17
Tl 0.7625 0.2498 0.5251  6 Be 2.55-2.79


[6]
VASP calculation (SCAN) on Be2TlTe at its PBEsol-relaxed geometry.

Space group: Cmmm (65)

abc: 3.5104 3.5104 7.3819
angles: 90.00 90.00 118.00
Closest atoms and distances in Å follow each position.
Positions (direct):
Te 0.5000 0.5000 0.5000  4 Be 2.51
Be 0.0000 0.0000 0.7360  2 Te 2.51, 2 Tl 2.66
Tl 0.5000 0.5000 0.0000  4 Be 2.66
Be 0.0000 0.0000 0.2640  2 Te 2.51, 2 Tl 2.66


[7]
VASP calculation (SCAN) on BeTe2W at its PBEsol-relaxed geometry.

Space group: I-4m2 (119)

abc: 4.0495 4.0495 5.3743
angles: 112.13 112.13 90.00
Closest atoms and distances in Å follow each position.
Positions (direct):
Te 0.0000 0.0000 0.0000  4 W 2.86, 4 Be 3.04, 4 Te 3.04
W 0.5000 0.5000 0.0000  8 Te 2.86-3.04, 4 Be 3.04
Te 0.7500 0.2500 0.5000  4 Be 2.86, 4 W 3.04, 4 Te 3.04
Be 0.2500 0.7500 0.5000  8 Te 2.86-3.04, 4 W 3.04


[8]
VASP calculation (SCAN) on BeTeW3 at its PBEsol-relaxed geometry.

Space group: Pm-3m (221)

abc: 4.2909 4.2909 4.2909
angles: 90.00 90.00 90.00
Closest atoms and distances in Å follow each position.
Positions (direct):
W 0.0000 0.5000 0.0000  2 Be 2.15
W 0.5000 0.0000 0.0000  2 Be 2.15
Te 0.5000 0.5000 0.5000  12 W 3.03
Be 0.0000 0.0000 0.0000  6 W 2.15
W 0.0000 0.0000 0.5000  2 Be 2.15


[9]
VASP calculation (SCAN) on Be2TeW at its PBEsol-relaxed geometry.

Space group: Pmmm (47)

abc: 3.4375 3.5537 4.5176
angles: 90.00 90.00 90.00
Closest atoms and distances in Å follow each position.
Positions (direct):
Te 0.5000 0.5000 0.0000  4 Be 2.47
Be 0.0000 0.5000 0.5000  4 W 2.47
Be 0.0000 0.0000 0.0000  4 Te 2.47
W 0.5000 0.0000 0.5000  4 Be 2.47


[10]
VASP calculation (SCAN) on Be3TeW at its PBEsol-relaxed geometry.

Space group: Pm-3m (221)

abc: 4.3765 4.3765 4.3765
angles: 90.00 90.00 90.00
Closest atoms and distances in Å follow each position.
Positions (direct):
Te 0.5000 0.5000 0.5000  12 Be 3.09
Be 0.0000 0.0000 0.5000  2 W 2.19
Be 0.0000 0.5000 0.0000  2 W 2.19
W 0.0000 0.0000 0.0000  6 Be 2.19
Be 0.5000 0.0000 0.0000  2 W 2.19


[11]
VASP calculation (SCAN) on Be2TeW at its PBEsol-relaxed geometry.

Space group: F-43m (216)

abc: 4.3700 4.3700 4.3700
angles: 60.00 60.00 60.00
Closest atoms and distances in Å follow each position.
Positions (direct):
W 0.2500 0.2500 0.2500  4 Te 2.68, 4 Be 2.68
Be 0.7500 0.7500 0.7500  4 Te 2.68, 4 Be 2.68
Te 0.5000 0.5000 0.5000  4 Be 2.68, 4 W 2.68
Be 0.0000 0.0000 0.0000  4 W 2.68, 4 Be 2.68


[12]
VASP calculation (SCAN) on Be2TeW at its PBEsol-relaxed geometry.

Space group: Pm (6)

abc: 3.1938 3.4939 5.2223
angles: 90.00 107.66 90.00
Closest atoms and distances in Å follow each position.
Positions (direct):
Be 0.1763 0.0000 0.9802  2 Be 2.12
Be 0.2987 0.5000 0.2206  2 Be 2.12
Te 0.9315 0.0000 0.4857  5 Be 2.46-2.71
W 0.5935 0.5000 0.8135  6 Be 2.51-2.59


Calculated energy relative to the elements, uncorrected, 0.03 0.78 0.36 0.32 0.35 0.68 1.17 1.25 0.65 1.38 1.01 0.55 eV/atom (same order as the records).
Calculated E, -37.7713 -28.7955 -37.6243 -29.2560 -29.2272 -28.9032 -35.9702 -48.8832 -28.2622 -22.6209 -27.9053 -28.3595 eV/atom (same order as the records).